Record 1
Density functional theory data (GGA-PBE) for a geometry-optimized Sm5Ag2Pb5 structure.

Cell lengths 8.712, 8.712, 10.883 Å; angles 126.99, 126.99, 31.82 degrees
Fractional positions:
Sm: 0.000 0.000 0.000
Sm: 0.108 0.108 0.419
Sm: 0.187 0.187 0.828
Sm: 0.813 0.813 0.172
Sm: 0.892 0.892 0.581
Ag: 0.358 0.358 0.755
Ag: 0.642 0.642 0.245
Pb: 0.257 0.257 0.315
Pb: 0.433 0.433 0.135
Pb: 0.500 0.500 0.500
Pb: 0.567 0.567 0.865
Pb: 0.743 0.743 0.685

As for the crystal system: monoclinic. Its energy of formation is -5.35 eV/f.u. The value obtained for the total energy is -4.4327 eV per atom.

=====

Record 2
Density functional theory data (GGA-PBE) for a geometry-optimized SmAgPb structure.

Cell lengths 4.869, 4.869, 7.618 Å; angles 90.00, 90.00, 120.00 degrees
Fractional positions:
Sm: 0.000 0.000 0.000
Sm: 0.000 0.000 0.500
Ag: 0.333 0.667 0.311
Ag: 0.667 0.333 0.811
Pb: 0.333 0.667 0.720
Pb: 0.667 0.333 0.220

As for the crystal system: hexagonal. Its energy of formation is -1.33 eV/f.u. The value obtained for the total energy is -4.2021 eV per atom.

=====

Record 3
Density functional theory data (GGA-PBE) for a geometry-optimized SmAg4Pb structure.

Cell lengths 5.708, 5.708, 5.708 Å; angles 60.00, 60.00, 60.00 degrees
Fractional positions:
Sm: 0.000 0.000 0.000
Ag: 0.124 0.625 0.625
Ag: 0.625 0.124 0.625
Ag: 0.625 0.625 0.124
Ag: 0.625 0.625 0.625
Pb: 0.250 0.250 0.250

As for the crystal system: cubic. Its energy of formation is -0.95 eV/f.u. The value obtained for the total energy is -3.4646 eV per atom.

=====

Among the records above, which one has the lowest total energy?
Sm5Ag2Pb5

=====

What did the third record say?
Density functional theory data (GGA-PBE) for a geometry-optimized SmAg4Pb structure.

Cell lengths 5.708, 5.708, 5.708 Å; angles 60.00, 60.00, 60.00 degrees
Fractional positions:
Sm: 0.000 0.000 0.000
Ag: 0.124 0.625 0.625
Ag: 0.625 0.124 0.625
Ag: 0.625 0.625 0.124
Ag: 0.625 0.625 0.625
Pb: 0.250 0.250 0.250

As for the crystal system: cubic. Its energy of formation is -0.95 eV/f.u. The value obtained for the total energy is -3.4646 eV per atom.

=====

The highest energy of formation belongs to which entry?
SmAg4Pb

=====

What did the first record say?
Density functional theory data (GGA-PBE) for a geometry-optimized Sm5Ag2Pb5 structure.

Cell lengths 8.712, 8.712, 10.883 Å; angles 126.99, 126.99, 31.82 degrees
Fractional positions:
Sm: 0.000 0.000 0.000
Sm: 0.108 0.108 0.419
Sm: 0.187 0.187 0.828
Sm: 0.813 0.813 0.172
Sm: 0.892 0.892 0.581
Ag: 0.358 0.358 0.755
Ag: 0.642 0.642 0.245
Pb: 0.257 0.257 0.315
Pb: 0.433 0.433 0.135
Pb: 0.500 0.500 0.500
Pb: 0.567 0.567 0.865
Pb: 0.743 0.743 0.685

As for the crystal system: monoclinic. Its energy of formation is -5.35 eV/f.u. The value obtained for the total energy is -4.4327 eV per atom.